The following is a DFT calculation (PBE with a Hubbard U) of a relaxed SrFeIO6 crystal.

CIF file:
```
data_SrFeIO6
_cell_length_a 5.131
_cell_length_b 8.889
_cell_length_c 5.467
_cell_angle_alpha 90.00
_cell_angle_beta 90.15
_cell_angle_gamma 90.00
_symmetry_space_group_name_H-M 'C 1 2 1'
_symmetry_Int_Tables_number 5
_symmetry_space_group_name_Hall 'C 2y'
loop_
_atom_site_label
_atom_site_fract_x
_atom_site_fract_y
_atom_site_fract_z
Sr1 0.000 0.000 0.000
Fe1 0.000 0.668 0.500
I1 0.000 0.333 0.500
O1 0.118 0.496 0.701
O2 0.182 0.190 0.698
O3 0.195 0.812 0.699
```

Results
The calculation puts the raw total energy at -0.40365 Ry per atom.